{
  "formula": "Al2InOs",
  "functional": "GGA-PBE",
  "state": "optimized geometry",
  "dos_ef_per_ev_fu": 1.69,
  "formation_enthalpy_0k_mev_per_atom": -142.7,
  "sg": "No. 10",
  "rho_g_cm3": 8.23,
  "lattice": [[-1.021, 1.806, -2.228], [1.757, -1.463, -1.992], [-4.959, -5.785, -2.416]],
  "species": ["Os", "Al", "Al", "In"],
  "frac_coords": [[0.500, 0.750, 0.750], [0.000, 0.158, 0.932], [0.000, 0.342, 0.568], [0.500, 0.250, 0.250]]
}